No. 1
First-principles (PBE) data for DyScNb2Ge2 after structural relaxation, as listed in OQMD via LeMat-Bulk.

The electronic total energy comes out at -44.15 eV for the cell shown.

a b c (Å): 3.9838 3.9838 7.6852
angles (deg): 90.00 90.00 90.00
Atoms (fractional coordinates):
1 Dy 0.0000 0.0000 0.3581
2 Ge 0.5000 0.5000 0.2510
3 Ge 0.0000 0.0000 0.7449
4 Nb 0.5000 0.0000 0.9971
5 Nb 0.0000 0.5000 0.9971
6 Sc 0.5000 0.5000 0.6519



No. 2
First-principles (PBE) data for Dy2Nb2SiGe after structural relaxation, as listed in OQMD via LeMat-Bulk.

The electronic total energy comes out at -43.26 eV for the cell shown.

a b c (Å): 4.0150 4.0150 7.8394
angles (deg): 90.00 90.00 90.00
Atoms (fractional coordinates):
1 Dy 0.0000 0.0000 0.3520
2 Dy 0.5000 0.5000 0.6460
3 Ge 0.0000 0.0000 0.7565
4 Nb 0.5000 0.0000 0.0032
5 Nb 0.0000 0.5000 0.0032
6 Si 0.5000 0.5000 0.2392



No. 3
First-principles (PBE) data for TbDyNb2Ge2 after structural relaxation, as listed in OQMD via LeMat-Bulk.

The electronic total energy comes out at -42.51 eV for the cell shown.

a b c (Å): 4.0320 4.0320 7.8847
angles (deg): 90.00 90.00 90.00
Atoms (fractional coordinates):
1 Dy 0.5000 0.5000 0.3520
2 Ge 0.0000 0.0000 0.2456
3 Ge 0.5000 0.5000 0.7548
4 Nb 0.5000 0.0000 0.0002
5 Nb 0.0000 0.5000 0.0002
6 Tb 0.0000 0.0000 0.6471



No. 4
First-principles (PBE) data for NdDyGe2 after structural relaxation, as listed in OQMD via LeMat-Bulk.

The electronic total energy comes out at -18.45 eV for the cell shown.

a b c (Å): 3.2942 6.4890 6.4890
angles (deg): 54.38 90.00 90.00
Atoms (fractional coordinates):
1 Dy 0.0000 0.1507 0.1507
2 Ge 0.0000 0.3925 0.3925
3 Ge 0.0000 0.6040 0.6040
4 Nd 0.0000 0.8527 0.8527



No. 5
First-principles (PBE) data for NdDyGe after structural relaxation, as listed in OQMD via LeMat-Bulk.

The energy above the most stable polymorph in this dataset comes out at 0 meV/atom.

a b c (Å): 5.0003 5.0003 5.0003
angles (deg): 60.00 60.00 60.00
Atoms (fractional coordinates):
1 Dy 0.0000 0.0000 0.0000
2 Ge 0.2500 0.2500 0.2500
3 Nd 0.7500 0.7500 0.7500



No. 6
First-principles (PBE) data for NdDyGe2 after structural relaxation, as listed in OQMD via LeMat-Bulk.

The electronic total energy comes out at -42.03 eV for the cell shown.

a b c (Å): 10.2915 10.2915 4.5138
angles (deg): 90.00 90.00 155.57
Atoms (fractional coordinates):
1 Dy 0.7467 0.2533 0.2500
2 Dy 0.2533 0.7467 0.7500
3 Ge 0.4718 0.5282 0.2500
4 Ge 0.3485 0.6515 0.2500
5 Ge 0.6515 0.3485 0.7500
6 Ge 0.5282 0.4718 0.7500
7 Nd 0.0904 0.9096 0.2500
8 Nd 0.9096 0.0904 0.7500



No. 7
First-principles (PBE) data for NdDyNi2Ge4 after structural relaxation, as listed in OQMD via LeMat-Bulk.

The electronic total energy comes out at -44.77 eV for the cell shown.

a b c (Å): 4.2059 8.5768 8.5768
angles (deg): 28.17 90.00 90.00
Atoms (fractional coordinates):
1 Dy 0.0000 0.6088 0.6088
2 Ge 0.5000 0.0425 0.0425
3 Ge 0.0000 0.2482 0.2482
4 Ge 0.5000 0.7492 0.7492
5 Ge 0.0000 0.9595 0.9595
6 Nd 0.5000 0.3929 0.3929
7 Ni 0.5000 0.1797 0.1797
8 Ni 0.0000 0.8191 0.8191



No. 8
First-principles (PBE) data for NdDyGe2Os after structural relaxation, as listed in OQMD via LeMat-Bulk.

The electronic total energy comes out at -66.34 eV for the cell shown.

a b c (Å): 5.8781 5.8781 10.3391
angles (deg): 116.18 116.18 43.29
Atoms (fractional coordinates):
1 Dy 0.0000 0.0000 0.3284
2 Dy 0.0000 0.0000 0.6716
3 Ge 0.4946 0.4946 0.1311
4 Ge 0.3562 0.3562 0.4377
5 Ge 0.6438 0.6438 0.5623
6 Ge 0.5054 0.5054 0.8689
7 Nd 0.1880 0.1880 0.1124
8 Nd 0.8120 0.8120 0.8876
9 Os 0.7304 0.7304 0.3741
10 Os 0.2696 0.2696 0.6259



No. 9
First-principles (PBE) data for NdDy2Ge3PdPt2 after structural relaxation, as listed in OQMD via LeMat-Bulk.

The electronic total energy comes out at -54.04 eV for the cell shown.

a b c (Å): 3.9557 7.3034 7.3034
angles (deg): 120.42 90.00 90.00
Atoms (fractional coordinates):
1 Dy 0.0000 0.5936 0.0008
2 Dy 0.0000 0.0008 0.5936
3 Ge 0.5000 0.9972 0.2523
4 Ge 0.5000 0.7487 0.7487
5 Ge 0.5000 0.2523 0.9972
6 Nd 0.0000 0.4094 0.4094
7 Pd 0.0000 0.9935 0.9935
8 Pt 0.5000 0.6738 0.3307
9 Pt 0.5000 0.3307 0.6738



No. 10
First-principles (PBE) data for NdDyGe2Pt4 after structural relaxation, as listed in OQMD via LeMat-Bulk.

The electronic total energy comes out at -50.25 eV for the cell shown.

a b c (Å): 4.4080 4.4080 9.2839
angles (deg): 90.00 90.00 120.00
Atoms (fractional coordinates):
1 Dy 0.0000 0.0000 0.0000
2 Ge 0.6667 0.3333 0.2458
3 Ge 0.6667 0.3333 0.7542
4 Nd 0.3333 0.6667 0.5000
5 Pt 0.3333 0.6667 0.1618
6 Pt 0.0000 0.0000 0.3242
7 Pt 0.0000 0.0000 0.6758
8 Pt 0.3333 0.6667 0.8382



No. 11
First-principles (PBE) data for NdDyZn2Ge2 after structural relaxation, as listed in OQMD via LeMat-Bulk.

The energy above the most stable polymorph in this dataset comes out at 0 meV/atom.

a b c (Å): 4.2713 4.2713 16.0590
angles (deg): 90.00 90.00 120.00
Atoms (fractional coordinates):
1 Dy 0.0000 0.0000 0.2500
2 Dy 0.0000 0.0000 0.7500
3 Ge 0.6667 0.3333 0.1180
4 Ge 0.6667 0.3333 0.3820
5 Ge 0.3333 0.6667 0.6180
6 Ge 0.3333 0.6667 0.8820
7 Nd 0.0000 0.0000 0.0000
8 Nd 0.0000 0.0000 0.5000
9 Zn 0.3333 0.6667 0.1501
10 Zn 0.3333 0.6667 0.3499
11 Zn 0.6667 0.3333 0.6501
12 Zn 0.6667 0.3333 0.8499



No. 12
First-principles (PBE) data for DyNi4Ge3 after structural relaxation, as listed in OQMD via LeMat-Bulk.

The electronic total energy comes out at -43.98 eV for the cell shown.

a b c (Å): 5.1386 3.9635 5.9307
angles (deg): 90.00 98.48 90.00
Atoms (fractional coordinates):
1 Dy 0.6867 0.0000 0.6912
2 Ge 0.8388 0.0000 0.1751
3 Ge 0.3741 0.5000 0.3522
4 Ge 0.1669 0.5000 0.7936
5 Ni 0.6008 0.5000 0.0338
6 Ni 0.2787 0.0000 0.0389
7 Ni 0.8774 0.5000 0.4213
8 Ni 0.1767 0.0000 0.4938